Record 1
Entry from the Alexandria database: crystalline Nb2AlGaB at its relaxed geometry (GGA-PBE).

Geometry as POSCAR:
```
Nb2AlGaB
1.0
4.454 0.000 0.000
0.000 4.454 0.000
0.000 0.000 3.969
Nb Al Ga B
2 1 1 1
Cartesian
0.000 2.227 0.000
2.227 0.000 0.000
0.000 0.000 1.984
2.227 2.227 1.984
2.227 2.227 0.000
```

Properties
- Total magnetization: 0.0 μB per formula unit
- Theoretical density: 6.19 g/cm³
- Space-group type: P4/mmm, No. 123
- ΔE_f: 0.047 eV per atom

---

Record 2
Entry from the Alexandria database: crystalline AlGa2BO6 at its relaxed geometry (GGA-PBE).

Geometry as POSCAR:
```
AlGa2BO6
1.0
4.454 -5.075 0.000
4.454 5.075 0.000
-1.761 0.000 4.417
Al Ga B O
2 4 2 12
Cartesian
3.134 4.112 3.312
4.014 -4.112 1.104
1.764 0.985 3.767
2.644 -0.985 1.559
4.504 0.985 2.858
5.384 -0.985 0.649
4.014 3.429 1.104
3.134 -3.429 3.312
-0.161 0.718 2.967
1.995 2.822 4.212
0.720 -0.718 0.758
2.553 0.817 2.071
4.272 2.822 2.413
1.673 -0.817 4.279
5.475 0.817 0.137
2.876 -2.822 2.003
4.594 -0.817 2.346
6.428 0.718 3.658
5.153 -2.822 0.205
7.309 -0.718 1.450
```

Properties
- Total magnetization: 0.0 μB per formula unit
- Theoretical density: 4.54 g/cm³
- Formation energy from raw total energies: -2.103 eV per atom
- Space-group type: C2/c, No. 15

---

Record 3
Entry from the Alexandria database: crystalline AlGaBO2 at its relaxed geometry (GGA-PBE).

Geometry as POSCAR:
```
AlGaBO2
1.0
3.693 0.000 0.000
0.000 3.693 0.000
0.000 0.000 4.655
Al Ga B O
1 1 1 2
Cartesian
0.000 0.000 0.000
1.846 1.846 2.327
1.846 1.846 0.000
0.000 1.846 2.327
1.846 0.000 2.327
```

Properties
- Total magnetization: 0.0 μB per formula unit
- Theoretical density: 3.65 g/cm³
- Formation energy from raw total energies: 0.143 eV per atom
- Space-group type: P4/mmm, No. 123

---

Record 4
Entry from the Alexandria database: crystalline Al2GaBPt at its relaxed geometry (GGA-PBE).

Geometry as POSCAR:
```
Al2GaBPt
1.0
4.072 0.000 0.000
0.000 4.072 0.000
0.000 0.000 4.423
Al Ga B Pt
2 1 1 1
Cartesian
0.000 2.036 0.000
2.036 0.000 0.000
0.000 0.000 2.211
0.000 0.000 0.000
2.036 2.036 2.211
```

Properties
- Total magnetization: 0.0 μB per formula unit
- Theoretical density: 7.46 g/cm³
- Space-group type: P4/mmm, No. 123
- ΔE_f: 0.091 eV per atom

---

Record 5
Entry from the Alexandria database: crystalline AlGa2B2Rh5 at its relaxed geometry (GGA-PBE).

Geometry as POSCAR:
```
AlGa2B2Rh5
1.0
9.357 0.000 0.000
0.000 9.357 0.000
0.000 0.000 2.912
Al Ga B Rh
2 4 4 10
Cartesian
0.000 0.000 0.000
4.678 4.678 0.000
1.624 3.054 0.000
3.054 7.732 0.000
6.302 1.624 0.000
7.732 6.302 0.000
1.202 5.880 0.000
3.477 1.202 0.000
5.880 8.155 0.000
8.155 3.477 0.000
0.000 4.678 1.456
0.799 7.421 1.456
1.935 0.799 1.456
2.743 5.477 1.456
3.879 2.743 1.456
4.678 0.000 1.456
5.477 6.614 1.456
6.614 3.879 1.456
7.421 8.558 1.456
8.558 1.935 1.456
```

Properties
- Total magnetization: 0.0 μB per formula unit
- Theoretical density: 9.15 g/cm³
- Space-group type: P4/mbm, No. 127
- ΔE_f: -0.508 eV per atom

---

Record 6
Entry from the Alexandria database: crystalline Al2GaB2Rh5 at its relaxed geometry (GGA-PBE).

Geometry as POSCAR:
```
Al2GaB2Rh5
1.0
9.267 0.000 0.000
0.000 9.267 0.000
0.000 0.000 2.942
Al Ga B Rh
4 2 4 10
Cartesian
1.619 3.014 0.000
3.014 7.648 0.000
6.252 1.619 0.000
7.648 6.252 0.000
0.000 0.000 0.000
4.633 4.633 0.000
1.184 5.817 0.000
3.449 1.184 0.000
5.817 8.083 0.000
8.083 3.449 0.000
0.000 4.633 1.471
0.755 7.323 1.471
1.944 0.755 1.471
2.689 5.389 1.471
3.878 2.689 1.471
4.633 0.000 1.471
5.389 6.577 1.471
6.577 3.878 1.471
7.323 8.512 1.471
8.512 1.944 1.471
```

Properties
- Total magnetization: 0.0 μB per formula unit
- Theoretical density: 8.67 g/cm³
- Space-group type: P4/mbm, No. 127
- ΔE_f: -0.630 eV per atom

---

Record 7
Entry from the Alexandria database: crystalline AlGa2B2Ru5 at its relaxed geometry (GGA-PBE).

Geometry as POSCAR:
```
AlGa2B2Ru5
1.0
9.315 0.000 0.000
0.000 9.315 0.000
0.000 0.000 2.927
Al Ga B Ru
2 4 4 10
Cartesian
0.000 0.000 0.000
4.657 4.657 0.000
1.583 3.075 0.000
3.075 7.732 0.000
6.240 1.583 0.000
7.732 6.240 0.000
1.188 5.845 0.000
3.470 1.188 0.000
5.845 8.127 0.000
8.127 3.470 0.000
0.000 4.657 1.463
0.830 7.405 1.463
1.910 0.830 1.463
2.747 5.487 1.463
3.827 2.747 1.463
4.657 0.000 1.463
5.487 6.567 1.463
6.567 3.827 1.463
7.405 8.485 1.463
8.485 1.910 1.463
```

Properties
- Total magnetization: 0.0 μB per formula unit
- Theoretical density: 9.07 g/cm³
- Space-group type: P4/mbm, No. 127
- ΔE_f: -0.218 eV per atom

---

Record 8
Entry from the Alexandria database: crystalline AlGaB2S at its relaxed geometry (GGA-PBE).

Geometry as POSCAR:
```
AlGaB2S
1.0
4.146 0.000 0.000
0.000 4.146 0.000
0.000 0.000 5.150
Al Ga B S
1 1 2 1
Cartesian
0.000 0.000 0.000
0.000 0.000 2.575
0.000 2.073 0.000
2.073 0.000 0.000
2.073 2.073 2.575
```

Properties
- Total magnetization: 0.0 μB per formula unit
- Theoretical density: 2.82 g/cm³
- Formation energy from raw total energies: 1.305 eV per atom
- Space-group type: P4/mmm, No. 123

---

Record 9
Entry from the Alexandria database: crystalline Sc2AlGaB at its relaxed geometry (GGA-PBE).

Geometry as POSCAR:
```
Sc2AlGaB
1.0
5.064 0.000 0.000
0.000 5.064 0.000
0.000 0.000 4.493
Sc Al Ga B
2 1 1 1
Cartesian
0.000 2.532 0.000
2.532 0.000 0.000
0.000 0.000 0.000
0.000 0.000 2.247
2.532 2.532 2.247
```

Properties
- Total magnetization: 0.0 μB per formula unit
- Theoretical density: 2.84 g/cm³
- Space-group type: P4/mmm, No. 123
- ΔE_f: 1.074 eV per atom

---

Record 10
Entry from the Alexandria database: crystalline ScAl2GaB at its relaxed geometry (GGA-PBE).

Geometry as POSCAR:
```
ScAl2GaB
1.0
5.088 0.000 0.000
0.000 5.088 0.000
0.000 0.000 3.772
Sc Al Ga B
1 2 1 1
Cartesian
0.000 0.000 0.000
0.000 2.544 1.886
2.544 0.000 1.886
2.544 2.544 1.886
2.544 2.544 0.000
```

Properties
- Total magnetization: 0.0 μB per formula unit
- Theoretical density: 3.05 g/cm³
- Space-group type: P4/mmm, No. 123
- ΔE_f: 0.700 eV per atom

---

Record 11
Entry from the Alexandria database: crystalline AlGaB2W at its relaxed geometry (GGA-PBE).

Geometry as POSCAR:
```
AlGaB2W
1.0
4.250 0.000 0.000
0.000 4.250 0.000
0.000 0.000 4.960
Al Ga B W
1 1 2 1
Cartesian
0.000 0.000 0.000
2.125 2.125 0.000
0.000 2.125 2.480
2.125 0.000 2.480
0.000 0.000 2.480
```

Properties
- Total magnetization: 0.0 μB per formula unit
- Theoretical density: 5.60 g/cm³
- Space-group type: P4/mmm, No. 123
- ΔE_f: 1.074 eV per atom

---

Record 12
Entry from the Alexandria database: crystalline GdAlB at its relaxed geometry (GGA-PBE).

Geometry as POSCAR:
```
GdAlB
1.0
3.795 0.000 0.000
-1.897 3.286 0.000
0.000 0.000 4.145
Gd Al B
1 1 1
Cartesian
0.000 0.000 0.000
1.897 1.095 2.072
0.000 2.191 2.072
```

Properties
- Total magnetization: 7.2 μB per formula unit
- Theoretical density: 6.27 g/cm³
- Space-group type: P-6m2, No. 187
- ΔE_f: -0.346 eV per atom

---

In the order shown, the computed DOS(E_F) values come out to 0.99; 0.00; 0.63; 0.45; 0.27; 0.35; 0.89; 0.36; 0.90; 0.65; 0.49; 0.47 states/eV/atom.